A plane-wave DFT calculation with GGA-PBE was carried out for a relaxed CuSiI5 crystal.

The space group is C2/c (No. 15) and the conventional cell measures 11.337, 15.800 and 8.362 Å, with angles of 90.00, 112.94 and 90.00 degrees. The distinct sites, in fractional coordinates, are Cu at (0.000, 0.000, 0.000), Si at (0.000, 0.361, 0.250), I at (0.000, 0.080, 0.750), I at (0.092, 0.270, 0.088) and I at (0.172, 0.449, 0.454).

For the density of states at the Fermi level, the calculation gives 0.00 states/eV per cell. The uncorrected formation energy comes out at -0.2369 eV/atom. For the total magnetization, the calculation gives 0.000 μB per atom.



A plane-wave DFT calculation with GGA-PBE was carried out for a relaxed Y3Tm8Sc2 crystal.

The space group is C2/m (No. 12) and the conventional cell measures 14.502, 9.017 and 6.633 Å, with angles of 90.00, 109.30 and 90.00 degrees. The distinct sites, in fractional coordinates, are Y at (0.000, 0.000, 0.000), Y at (0.000, 0.173, 0.500), Tm at (0.088, 0.500, 0.726), Tm at (0.120, 0.319, 0.189), Tm at (0.192, 0.000, 0.896) and Sc at (0.208, 0.000, 0.423).

For the density of states at the Fermi level, the calculation gives 33.18 states/eV per cell. The value obtained for the energy relative to the lowest polymorph listed for this composition is 0.000 eV/atom. For the total magnetization, the calculation gives 0.000 μB per atom. The calculation puts the energy relative to the elements at 3.18 eV/f.u.



Number 1: total energy -2.704 eV per atom. Number 2: total energy -4.973 eV per atom.